A relaxed Y4GaTe2 crystal. Source: Alexandria via LeMat-Bulk, functional PBE-GGA.

- offset from the most stable computed form (eV per atom) = 0.000
- raw formation energy (kcal/mol of atoms) = -20.4
- mass density (g/cm³) = 5.43

```
Y4GaTe2
1.0
-4.712 4.714 4.686
4.712 -4.714 4.686
4.712 4.714 -4.686
Y Ga Te
8 2 4
Direct
0.179 0.230 0.551
0.179 0.628 0.949
0.230 0.179 0.051
0.372 0.821 0.551
0.628 0.179 0.449
0.770 0.821 0.949
0.821 0.372 0.051
0.821 0.770 0.449
0.125 0.875 0.250
0.875 0.125 0.750
0.000 0.500 0.500
0.500 0.000 0.000
0.500 0.500 0.000
0.500 0.500 0.500
```

***

A relaxed Y2GaTe crystal. Source: Alexandria via LeMat-Bulk, functional PBE-GGA.

- offset from the most stable computed form (eV per atom) = 0.076
- raw formation energy (kcal/mol of atoms) = -22.2
- mass density (g/cm³) = 5.63

```
Y2GaTe
1.0
2.055 1.186 7.567
-2.055 1.186 7.567
0.000 -2.373 7.567
Y Ga Te
2 1 1
Direct
0.245 0.245 0.245
0.755 0.755 0.755
0.500 0.500 0.500
0.000 0.000 0.000
```

***

A relaxed Y2GaTe crystal. Source: Alexandria via LeMat-Bulk, functional PBE-GGA.

- offset from the most stable computed form (eV per atom) = 0.367
- raw formation energy (kcal/mol of atoms) = -15.5
- mass density (g/cm³) = 6.04

```
Y2GaTe
1.0
0.000 3.722 3.722
3.722 0.000 3.722
3.722 3.722 0.000
Y Ga Te
2 1 1
Direct
0.250 0.250 0.250
0.750 0.750 0.750
0.000 0.000 0.000
0.500 0.500 0.500
```

***

A relaxed YGaTe3 crystal. Source: Alexandria via LeMat-Bulk, functional PBE-GGA.

- offset from the most stable computed form (eV per atom) = 0.000
- raw formation energy (kcal/mol of atoms) = -6.4
- mass density (g/cm³) = 4.41

```
YGaTe3
1.0
5.887 0.000 0.000
0.000 5.887 0.000
0.000 0.000 5.887
Y Ga Te
1 1 3
Direct
0.000 0.000 0.000
0.500 0.500 0.500
0.000 0.000 0.500
0.000 0.500 0.000
0.500 0.000 0.000
```

***

A relaxed Y2GaTe4 crystal. Source: Alexandria via LeMat-Bulk, functional PBE-GGA.

- raw formation energy (kcal/mol of atoms) = -23.3
- mass density (g/cm³) = 5.45

```
Y2GaTe4
1.0
7.885 -2.146 0.000
7.885 2.146 0.000
-3.544 0.000 6.825
Y Ga Te
2 1 4
Direct
0.240 0.240 0.222
0.760 0.760 0.778
0.500 0.500 0.500
0.131 0.131 0.473
0.385 0.385 0.058
0.615 0.615 0.942
0.869 0.869 0.527
```

***

A relaxed YGaTe2 crystal. Source: Alexandria via LeMat-Bulk, functional PBE-GGA.

- raw formation energy (kcal/mol of atoms) = -19.9
- mass density (g/cm³) = 5.45

```
YGaTe2
1.0
2.144 1.238 7.924
-2.144 1.238 7.924
0.000 -2.476 7.924
Y Ga Te
1 1 2
Direct
0.000 0.000 0.000
0.167 0.167 0.167
0.588 0.588 0.588
0.748 0.748 0.748
```

***

A relaxed YbGa6Te10 crystal. Source: Alexandria via LeMat-Bulk, functional PBE-GGA.

- raw formation energy (kcal/mol of atoms) = -11.0
- mass density (g/cm³) = 5.42

```
YbGa6Te10
1.0
7.500 -7.332 0.000
7.500 7.332 0.000
-0.086 0.000 10.410
Yb Ga Te
2 12 20
Direct
0.128 0.128 0.250
0.872 0.872 0.750
0.001 0.286 0.926
0.035 0.556 0.624
0.044 0.464 0.250
0.126 0.777 0.333
0.223 0.874 0.667
0.307 0.254 0.662
0.444 0.965 0.376
0.536 0.956 0.750
0.622 0.292 0.837
0.708 0.378 0.163
0.714 0.999 0.074
0.746 0.693 0.338
0.045 0.955 0.500
0.050 0.300 0.672
0.122 0.700 0.815
0.193 0.365 0.070
0.206 0.553 0.433
0.300 0.878 0.185
0.309 0.057 0.826
0.372 0.207 0.417
0.436 0.441 0.759
0.447 0.794 0.567
0.552 0.196 0.069
0.559 0.564 0.241
0.635 0.807 0.930
0.700 0.120 0.663
0.700 0.950 0.328
0.793 0.628 0.583
0.804 0.448 0.931
0.880 0.300 0.337
0.943 0.691 0.174
0.957 0.043 0.000
```

***

A relaxed Zn3Ga12Te5 crystal. Source: Alexandria via LeMat-Bulk, functional PBE-GGA.

- raw formation energy (kcal/mol of atoms) = 0.9
- mass density (g/cm³) = 5.36

```
Zn3Ga12Te5
1.0
-8.027 8.027 8.027
8.027 -8.027 8.027
8.027 8.027 -8.027
Zn Ga Te
12 48 20
Direct
0.125 0.250 0.375
0.125 0.375 0.750
0.250 0.375 0.125
0.250 0.875 0.625
0.375 0.125 0.250
0.375 0.750 0.125
0.625 0.250 0.875
0.625 0.875 0.750
0.750 0.125 0.375
0.750 0.625 0.875
0.875 0.625 0.250
0.875 0.750 0.625
0.059 0.641 0.394
0.059 0.919 0.665
0.081 0.246 0.141
0.081 0.335 0.941
0.106 0.746 0.665
0.106 0.859 0.441
0.141 0.081 0.246
0.141 0.559 0.894
0.165 0.246 0.606
0.165 0.419 0.559
0.246 0.141 0.081
0.246 0.606 0.165
0.254 0.335 0.894
0.254 0.419 0.359
0.335 0.894 0.254
0.335 0.941 0.081
0.359 0.254 0.419
0.359 0.606 0.941
0.394 0.059 0.641
0.394 0.835 0.754
0.419 0.359 0.254
0.419 0.559 0.165
0.441 0.106 0.859
0.441 0.835 0.581
0.559 0.165 0.419
0.559 0.894 0.141
0.581 0.441 0.835
0.581 0.641 0.746
0.606 0.165 0.246
0.606 0.941 0.359
0.641 0.394 0.059
0.641 0.746 0.581
0.665 0.059 0.919
0.665 0.106 0.746
0.746 0.581 0.641
0.746 0.665 0.106
0.754 0.394 0.835
0.754 0.859 0.919
0.835 0.581 0.441
0.835 0.754 0.394
0.859 0.441 0.106
0.859 0.919 0.754
0.894 0.141 0.559
0.894 0.254 0.335
0.919 0.665 0.059
0.919 0.754 0.859
0.941 0.081 0.335
0.941 0.359 0.606
0.000 0.000 0.000
0.000 0.000 0.500
0.000 0.500 0.000
0.000 0.500 0.500
0.125 0.750 0.875
0.125 0.875 0.250
0.250 0.125 0.875
0.250 0.625 0.375
0.375 0.250 0.625
0.375 0.625 0.750
0.500 0.000 0.000
0.500 0.000 0.500
0.500 0.500 0.000
0.500 0.500 0.500
0.625 0.375 0.250
0.625 0.750 0.375
0.750 0.375 0.625
0.750 0.875 0.125
0.875 0.125 0.750
0.875 0.250 0.125
```